Entry 1:
The following is a DFT calculation (PBE-GGA) of an optimized crystal structure of K4Nd3AlSe8.

Geometry as CIF:
```
data_K4Nd3AlSe8
_symmetry_space_group_name_H-M 'R -3 m'
_symmetry_Int_Tables_number 166
_symmetry_space_group_name_Hall '-R 3 2"'
_cell_length_a 8.4914
_cell_length_b 8.4914
_cell_length_c 23.1118
_cell_angle_alpha 90.00
_cell_angle_beta 90.00
_cell_angle_gamma 120.00
loop_
_atom_site_label
_atom_site_fract_x
_atom_site_fract_y
_atom_site_fract_z
K1 0.0000 0.0000 0.0000
K2 0.0000 0.5000 0.0000
Nd1 0.0000 0.5000 0.5000
Al1 0.0000 0.0000 0.5000
Se1 0.0000 0.0000 0.2381
Se2 0.0281 0.5141 0.2332
```

Output
The value obtained for the magnetic moment is 0.000 μB per cell. The formation energy without anion corrections comes out at -24.204 eV per formula unit. The total energy comes out at -4.66 eV per atom.

***

Entry 2:
The following is a DFT calculation (PBE-GGA) of an optimized crystal structure of Li2GdSc.

Geometry as CIF:
```
data_Li2GdSc
_symmetry_space_group_name_H-M 'F m -3 m'
_symmetry_Int_Tables_number 225
_symmetry_space_group_name_Hall '-F 4 2 3'
_cell_length_a 7.221
_cell_length_b 7.221
_cell_length_c 7.221
_cell_angle_alpha 90.00
_cell_angle_beta 90.00
_cell_angle_gamma 90.00
loop_
_atom_site_label
_atom_site_fract_x
_atom_site_fract_y
_atom_site_fract_z
Li1 0.250 0.250 0.250
Gd1 0.000 0.000 0.000
Sc1 0.000 0.000 0.500
```

Output
The value obtained for the magnetic moment is 31.659 μB per cell. Its formation enthalpy at 0 K is 0.18 eV per atom. The energy relative to the lowest polymorph listed for this composition comes out at 7 meV per atom. The total energy comes out at -5.88 eV per atom.

***

Entry 3:
The following is a DFT calculation (PBE-GGA) of an optimized crystal structure of CrCuSbS2.

Geometry as CIF:
```
data_CrCuSbS2
_symmetry_space_group_name_H-M 'P 4/m m m'
_symmetry_Int_Tables_number 123
_symmetry_space_group_name_Hall '-P 4 2'
_cell_length_a 4.243
_cell_length_b 4.243
_cell_length_c 5.735
_cell_angle_alpha 90.00
_cell_angle_beta 90.00
_cell_angle_gamma 90.00
loop_
_atom_site_label
_atom_site_fract_x
_atom_site_fract_y
_atom_site_fract_z
Cr1 0.000 0.000 0.000
Cu1 0.500 0.500 0.500
Sb1 0.000 0.000 0.500
S1 0.000 0.500 0.000
```

Output
The value obtained for the magnetic moment is 0.000 μB per cell. The formation energy without anion corrections comes out at 1.471 eV per formula unit. The total energy comes out at -4.93 eV per atom.

***

Entry 4:
The following is a DFT calculation (PBE-GGA) of an optimized crystal structure of YTiPb2.

Geometry as CIF:
```
data_YTiPb2
_symmetry_space_group_name_H-M 'P 4/m m m'
_symmetry_Int_Tables_number 123
_symmetry_space_group_name_Hall '-P 4 2'
_cell_length_a 3.825
_cell_length_b 3.825
_cell_length_c 6.861
_cell_angle_alpha 90.00
_cell_angle_beta 90.00
_cell_angle_gamma 90.00
loop_
_atom_site_label
_atom_site_fract_x
_atom_site_fract_y
_atom_site_fract_z
Y1 0.000 0.000 0.000
Ti1 0.000 0.000 0.500
Pb1 0.500 0.500 0.275
```

Output
The value obtained for the magnetic moment is 1.404 μB per cell. Its formation enthalpy at 0 K is -0.09 eV per atom. The total energy comes out at -5.54 eV per atom.

***

Entry 5:
The following is a DFT calculation (PBE-GGA) of an optimized crystal structure of LaGdZnCo.

Geometry as CIF:
```
data_LaGdZnCo
_symmetry_space_group_name_H-M 'F -4 3 m'
_symmetry_Int_Tables_number 216
_symmetry_space_group_name_Hall 'F -4 2 3'
_cell_length_a 7.129
_cell_length_b 7.129
_cell_length_c 7.129
_cell_angle_alpha 90.00
_cell_angle_beta 90.00
_cell_angle_gamma 90.00
loop_
_atom_site_label
_atom_site_fract_x
_atom_site_fract_y
_atom_site_fract_z
La1 0.000 0.000 0.000
Gd1 0.000 0.000 0.500
Zn1 0.250 0.250 0.250
Co1 0.250 0.250 0.750
```

Output
The value obtained for the magnetic moment is 27.368 μB per cell. Its formation enthalpy at 0 K is -0.14 eV per atom. The total energy comes out at -6.99 eV per atom.

***

Entry 6:
The following is a DFT calculation (PBE-GGA) of an optimized crystal structure of Tb3Pm4Sm.

Geometry as CIF:
```
data_Tb3Pm4Sm
_symmetry_space_group_name_H-M 'C m m m'
_symmetry_Int_Tables_number 65
_symmetry_space_group_name_Hall '-C 2 2'
_cell_length_a 5.737
_cell_length_b 26.311
_cell_length_c 3.616
_cell_angle_alpha 90.00
_cell_angle_beta 90.00
_cell_angle_gamma 90.00
loop_
_atom_site_label
_atom_site_fract_x
_atom_site_fract_y
_atom_site_fract_z
Tb1 0.000 0.000 0.000
Tb2 0.000 0.152 0.500
Pm1 0.000 0.276 0.000
Pm2 0.000 0.396 0.000
Sm1 0.000 0.500 0.500
```

Output
The value obtained for the magnetic moment is 0.000 μB per cell. Its formation enthalpy at 0 K is 0.20 eV per atom. The energy relative to the lowest polymorph listed for this composition comes out at 169 meV per atom. The total energy comes out at -4.51 eV per atom.